Record 1
First-principles (PBE) data for LiCoAg after structural relaxation, as listed in Alexandria via LeMat-Bulk.

Cell: 2.6405 3.9939 8.1287 Å, 90.00 90.00 90.00°
Space group Imm2 (No. 44)
Symmetry-distinct sites (fractional):
Li 0.0000 0.0000 0.0000 [2 per cell]
Co 0.0000 0.0000 0.3340 [2 per cell]
Ag 0.0000 0.0000 0.6701 [2 per cell]

## Properties
The calculation puts the energy of formation from the pure elements at 0.270 eV/atom. The density of states at the Fermi level is 7.7 states/eV per cell.

---

Record 2
First-principles (PBE) data for Li2CoAg2 after structural relaxation, as listed in Alexandria via LeMat-Bulk.

Cell: 7.0484 7.0484 2.9226 Å, 90.00 90.00 90.00°
Space group P4/mbm (No. 127)
Symmetry-distinct sites (fractional):
Li 0.1270 0.3730 0.0000 [4 per cell]
Co 0.0000 0.0000 0.0000 [2 per cell]
Ag 0.1761 0.6761 0.5000 [4 per cell]

## Properties
The calculation puts the energy of formation from the pure elements at 0.202 eV/atom. The density of states at the Fermi level is 7.0 states/eV per cell.